First-principles (PBE) data for Tl2Zn3BiF12 after structural relaxation, as listed in the Alexandria database.

VASP energy in eV/atom: -4.060
Uncorrected formation energy in eV/atom: -2.122
Theoretical density in g/cm3: 6.587

Structure (CIF):
```
data_Tl2Zn3BiF12
_cell_length_a 7.5967
_cell_length_b 7.5967
_cell_length_c 15.7673
_cell_angle_alpha 90.00
_cell_angle_beta 90.00
_cell_angle_gamma 120.00
_symmetry_space_group_name_H-M 'R -3 m'
_symmetry_Int_Tables_number 166
_symmetry_space_group_name_Hall '-R 3 2"'
loop_
_atom_site_label
_atom_site_type_symbol
_atom_site_fract_x
_atom_site_fract_y
_atom_site_fract_z
_atom_site_occupancy
Tl1 Tl 0.0000 0.0000 0.1080 1
Zn1 Zn 0.0000 0.5000 0.0000 1
Bi1 Bi 0.0000 0.0000 0.5000 1
F1 F 0.0498 0.5249 0.8727 1
F2 F 0.0924 0.5462 0.2969 1
```